{
  "formula": "NbZnGaCu",
  "functional": "GGA-PBE",
  "state": "relaxed",
  "de_polymorph_mev_per_atom": 0,
  "magnetic_moment_mub_per_cell": 0.88,
  "mass_density_g_cm3": 8.1,
  "dft_energy_ry_per_atom": -0.326,
  "crystal_system": "cubic",
  "lattice": [[6.216, 0.000, 0.000], [0.000, 6.216, 0.000], [0.000, 0.000, 6.216]],
  "species": ["Nb", "Nb", "Nb", "Nb", "Zn", "Zn", "Zn", "Zn", "Ga", "Ga", "Ga", "Ga", "Cu", "Cu", "Cu", "Cu"],
  "frac_coords": [[0.000, 0.000, 0.000], [0.000, 0.500, 0.500], [0.500, 0.000, 0.500], [0.500, 0.500, 0.000], [0.250, 0.250, 0.750], [0.250, 0.750, 0.250], [0.750, 0.250, 0.250], [0.750, 0.750, 0.750], [0.250, 0.250, 0.250], [0.250, 0.750, 0.750], [0.750, 0.250, 0.750], [0.750, 0.750, 0.250], [0.000, 0.000, 0.500], [0.000, 0.500, 0.000], [0.500, 0.000, 0.000], [0.500, 0.500, 0.500]]
}